Sc2AlRh: optimized geometry, PBE-GGA.

a = 8.962 Å, b = 8.962 Å, c = 8.962 Å
α = 20.40°, β = 20.40°, γ = 20.40°
Positions (direct):
Sc (0.242, 0.242, 0.242)
Sc (0.758, 0.758, 0.758)
Al (0.000, 0.000, 0.000)
Rh (0.500, 0.500, 0.500)

Formation energy from the elements in eV per atom: -0.448
Space-group type: R-3m (166)

---

Os2RhCl: optimized geometry, PBE-GGA.

a = 2.817 Å, b = 2.817 Å, c = 8.993 Å
α = 90.00°, β = 90.00°, γ = 121.58°
Positions (direct):
Os (0.000, 0.000, 0.000)
Os (0.500, 0.500, 0.247)
Rh (0.500, 0.500, 0.747)
Cl (0.000, 0.000, 0.496)

Formation energy without anion corrections in eV per atom: 0.734
Space-group type: Cmm2 (35)

---

Number 1: raw total energy -25.55 eV/f.u.. Number 2: raw total energy -28.72 eV/f.u..